No. 1
Here is crystalline Be2PtPb at its relaxed geometry from Alexandria. Energies are from PBE.

Summary:
**Fermi-level density of states**: 1.1 states/eV/f.u.
**Uncorrected energy**: -17.790 eV per cell
**E_form**: -0.1470 eV per atom
**Space group**: C2/m, No. 12

abc: 3.9730 3.9730 5.5058
angles: 69.19 69.19 59.98
Last column: nearest neighbours and their distance in Å.
Fractional coordinates of all 4 atoms:
Pt 0.2500 0.2500 0.2500  6 Be 2.31
Pb 0.7500 0.7500 0.7500  2 Be 2.77
Be 0.9336 0.9336 0.1987  3 Pt 2.31, 3 Be 2.35
Be 0.5664 0.5664 0.3013  3 Pt 2.31, 3 Be 2.35

***

No. 2
Here is crystalline HfBiPd2F at its relaxed geometry from Alexandria. Energies are from PBE.

Summary:
**Fermi-level density of states**: 3.8 states/eV/f.u.
**Uncorrected energy**: -26.161 eV per cell
**Space group**: P4/mmm, No. 123
**Energy relative to the elements, uncorrected**: -0.014 eV per atom

abc: 5.1095 4.2896 5.1095
angles: 90.00 90.00 90.00
Last column: nearest neighbours and their distance in Å.
Fractional coordinates of all 5 atoms:
F 0.0000 0.5000 0.0000  2 Bi 2.14
Pd 0.5000 0.0000 0.0000  2 Bi 2.55
Pd 0.0000 0.0000 0.5000  2 Bi 2.55
Hf 0.5000 0.5000 0.5000  8 Pd 3.34, 4 F 3.61
Bi 0.0000 0.0000 0.0000  2 F 2.14

***

No. 3
Here is crystalline Hf6HC2N3 at its relaxed geometry from Alexandria. Energies are from PBE.

Summary:
**Fermi-level density of states**: 3.1 states/eV/f.u.
**Uncorrected energy**: -121.909 eV per cell
**Space group**: C2/m, No. 12

abc: 5.6096 5.6096 5.6351
angles: 99.72 99.72 119.91
Last column: nearest neighbours and their distance in Å.
Fractional coordinates of all 12 atoms:
N 0.5000 0.5000 0.5000  6 Hf 2.19-2.32
N 0.1693 0.8307 0.5000  6 Hf 2.20-2.33
N 0.8307 0.1693 0.5000  6 Hf 2.20-2.33
C 0.3343 0.6657 0.0000  6 Hf 2.27-2.28
C 0.6657 0.3343 0.0000  6 Hf 2.27-2.28
Hf 0.7368 0.7368 0.2605  3 N 2.19-2.32, 2 C 2.28, 1 H 2.41
Hf 0.9171 0.5689 0.7483  3 N 2.20-2.33, 2 C 2.27-2.28, 1 H 2.36
Hf 0.0829 0.4311 0.2517  3 N 2.20-2.33, 2 C 2.27-2.28, 1 H 2.36
Hf 0.2632 0.2632 0.7395  3 N 2.19-2.32, 2 C 2.28, 1 H 2.41
Hf 0.5689 0.9171 0.7483  3 N 2.20-2.33, 2 C 2.27-2.28, 1 H 2.36
Hf 0.4311 0.0829 0.2517  3 N 2.20-2.33, 2 C 2.27-2.28, 1 H 2.36
H 0.0000 0.0000 0.0000  6 Hf 2.36-2.41

***

No. 4
Here is crystalline ScTiSn3 at its relaxed geometry from Alexandria. Energies are from PBE.

Summary:
**Fermi-level density of states**: 5.4 states/eV/f.u.
**Uncorrected energy**: -25.166 eV per cell
**E_form**: 0.2139 eV per atom
**Space group**: Pm-3m, No. 221

abc: 5.2120 5.2120 5.2120
angles: 90.00 90.00 90.00
Last column: nearest neighbours and their distance in Å.
Fractional coordinates of all 5 atoms:
Sn 0.0000 0.0000 0.5000  2 Ti 2.61
Sn 0.0000 0.5000 0.0000  2 Ti 2.61
Sn 0.5000 0.0000 0.0000  2 Ti 2.61
Sc 0.5000 0.5000 0.5000  12 Sn 3.69
Ti 0.0000 0.0000 0.0000  6 Sn 2.61

***

What did the fourth record say?
Here is crystalline ScTiSn3 at its relaxed geometry from Alexandria. Energies are from PBE.

Summary:
**Fermi-level density of states**: 5.4 states/eV/f.u.
**Uncorrected energy**: -25.166 eV per cell
**E_form**: 0.2139 eV per atom
**Space group**: Pm-3m, No. 221

abc: 5.2120 5.2120 5.2120
angles: 90.00 90.00 90.00
Last column: nearest neighbours and their distance in Å.
Fractional coordinates of all 5 atoms:
Sn 0.0000 0.0000 0.5000  2 Ti 2.61
Sn 0.0000 0.5000 0.0000  2 Ti 2.61
Sn 0.5000 0.0000 0.0000  2 Ti 2.61
Sc 0.5000 0.5000 0.5000  12 Sn 3.69
Ti 0.0000 0.0000 0.0000  6 Sn 2.61

***

Q: Among the records above, which one has the highest Fermi-level density of states?
A: ScTiSn3

***

Q: Which value of Fermi-level density of states does entry 1 give?
A: 1.1 states/eV/f.u.

***

Q: Which value of uncorrected energy does entry 1 give?
A: -17.790 eV per cell